(1)
Entry from Alexandria via LeMat-Bulk: an optimized crystal structure of Ca2MoIr (PBE-GGA).

Computed properties:
Excess energy over the best structure of this formula in the dataset: 0.538 eV/atom
E_form: 2.2 eV/f.u.

a = 10.4326 Å, b = 10.4326 Å, c = 4.8376 Å
α = 90.00°, β = 90.00°, γ = 90.00°
With the nearest neighbours (Å) after each atom.
Space group I-42d (No. 122)
Unique sites:
1 Ca 0.0932 0.7500 0.1250 x8  2 Ir 2.85
2 Mo 0.0000 0.0000 0.5000 x4  2 Ir 2.42
3 Ir 0.0000 0.0000 0.0000 x4  2 Mo 2.42

(2)
Entry from Alexandria via LeMat-Bulk: an optimized crystal structure of Li2SiCN (PBE-GGA).

Computed properties:
Formation energy without anion corrections: 1.359 eV/atom

a = 5.0410 Å, b = 5.0410 Å, c = 3.3772 Å
α = 90.00°, β = 90.00°, γ = 90.00°
With the nearest neighbours (Å) after each atom.
Space group P4/mmm (No. 123)
Unique sites:
1 Li 0.0000 0.5000 0.0000 x2  2 Si 2.52
2 Si 0.0000 0.0000 0.0000 x1  2 N 1.69
3 C 0.5000 0.5000 0.5000 x1  8 Li 3.03, 2 C 3.38
4 N 0.0000 0.0000 0.5000 x1  2 Si 1.69

(3)
Entry from Alexandria via LeMat-Bulk: an optimized crystal structure of PrNd7Er3 (PBE-GGA).

Computed properties:
Excess energy over the best structure of this formula in the dataset: 0.000 eV/atom
E_form: 1.4 eV/f.u.

a = 6.5934 Å, b = 6.8004 Å, c = 8.8024 Å
α = 99.94°, β = 98.97°, γ = 95.97°
With the nearest neighbours (Å) after each atom.
Space group P-1 (No. 2)
Unique sites:
1 Pr 0.0000 0.0000 0.0000 x1  8 Nd 3.40-3.74
2 Nd 0.0000 0.5000 0.0000 x1  2 Pr 3.40, 2 Er 3.47, 6 Nd 3.51-3.61
3 Nd 0.0527 0.2113 0.6409 x2  6 Nd 3.39-3.71, 3 Er 3.60-3.71, 1 Pr 3.74
4 Nd 0.2187 0.7242 0.7086 x2  4 Er 3.42-3.70, 6 Nd 3.43-3.76, 1 Pr 3.50
5 Nd 0.4843 0.2389 0.9128 x2  5 Nd 3.39-3.76, 1 Pr 3.68, 2 Er 3.69-3.74
6 Er 0.3139 0.4325 0.3374 x2  2 Er 3.39-3.72, 6 Nd 3.42-3.70
7 Er 0.5000 0.0000 0.5000 x1  8 Nd 3.44-3.74, 2 Er 3.72

Magnetic moment values, unit μB per atom, following the record order: 0.6500, 0.4921, 0.0000.